# DyPu2UP4 | the Alexandria database | GGA-PBE | relaxed
# Symmetry   No. 10
data_DyPu2UP4
_chemical_formula_sum 'Dy1 Pu2 U1 P4'
_symmetry_space_group_name_H-M 'P 1'
_symmetry_Int_Tables_number 1
_symmetry_space_group_name_Hall 'P 1'
_cell_length_a 6.8778
_cell_length_b 3.9777
_cell_length_c 6.8845
_cell_angle_alpha 90.00
_cell_angle_beta 109.64
_cell_angle_gamma 90.00
loop_
_atom_site_label
_atom_site_type_symbol
_atom_site_fract_x
_atom_site_fract_y
_atom_site_fract_z
Dy1 Dy 0.0000 0.0000 0.0000
Pu1 Pu 0.0000 0.5000 0.5000
Pu2 Pu 0.5000 0.0000 0.5000
U1 U 0.5000 0.5000 0.0000
P1 P 0.2541 0.0000 0.7547
P2 P 0.2565 0.5000 0.2489
P3 P 0.7435 0.5000 0.7511
P4 P 0.7459 0.0000 0.2453

# Dy2PuUP4 | the Alexandria database | GGA-PBE | relaxed
# Symmetry   No. 10
data_Dy2PuUP4
_chemical_formula_sum 'Dy2 Pu1 U1 P4'
_symmetry_space_group_name_H-M 'P 1'
_symmetry_Int_Tables_number 1
_symmetry_space_group_name_Hall 'P 1'
_cell_length_a 6.8801
_cell_length_b 3.9686
_cell_length_c 6.9050
_cell_angle_alpha 90.00
_cell_angle_beta 109.45
_cell_angle_gamma 90.00
loop_
_atom_site_label
_atom_site_type_symbol
_atom_site_fract_x
_atom_site_fract_y
_atom_site_fract_z
Dy1 Dy 0.0000 0.0000 0.0000
Dy2 Dy 0.0000 0.5000 0.5000
Pu1 Pu 0.5000 0.0000 0.5000
U1 U 0.5000 0.5000 0.0000
P1 P 0.2557 0.0000 0.7558
P2 P 0.2565 0.5000 0.2481
P3 P 0.7435 0.5000 0.7519
P4 P 0.7443 0.0000 0.2442

# DyPu3U4P8 | the Alexandria database | GGA-PBE | relaxed
# Symmetry   No. 12
data_DyPu3U4P8
_chemical_formula_sum 'Dy1 Pu3 U4 P8'
_symmetry_space_group_name_H-M 'P 1'
_symmetry_Int_Tables_number 1
_symmetry_space_group_name_Hall 'P 1'
_cell_length_a 7.8795
_cell_length_b 7.8795
_cell_length_c 7.9502
_cell_angle_alpha 119.59
_cell_angle_beta 119.59
_cell_angle_gamma 60.07
loop_
_atom_site_label
_atom_site_type_symbol
_atom_site_fract_x
_atom_site_fract_y
_atom_site_fract_z
Dy1 Dy 0.0000 0.0000 0.0000
Pu1 Pu 0.0000 0.5000 0.0000
Pu2 Pu 0.5000 0.0000 0.0000
Pu3 Pu 0.5000 0.5000 0.0000
U1 U 0.0000 0.0000 0.5000
U2 U 0.0000 0.5000 0.5000
U3 U 0.5000 0.0000 0.5000
U4 U 0.5000 0.5000 0.5000
P1 P 0.2483 0.2483 0.7450
P2 P 0.2480 0.7473 0.7438
P3 P 0.2521 0.2521 0.2554
P4 P 0.2527 0.7520 0.2562
P5 P 0.7473 0.2480 0.7438
P6 P 0.7479 0.7479 0.7446
P7 P 0.7520 0.2527 0.2562
P8 P 0.7517 0.7517 0.2550

# Dy2Pu3UP6 | the Alexandria database | GGA-PBE | relaxed
# Symmetry   No. 12
data_Dy2Pu3UP6
_chemical_formula_sum 'Dy2 Pu3 U1 P6'
_symmetry_space_group_name_H-M 'P 1'
_symmetry_Int_Tables_number 1
_symmetry_space_group_name_Hall 'P 1'
_cell_length_a 7.2084
_cell_length_b 7.2084
_cell_length_c 7.8291
_cell_angle_alpha 100.07
_cell_angle_beta 100.07
_cell_angle_gamma 44.91
loop_
_atom_site_label
_atom_site_type_symbol
_atom_site_fract_x
_atom_site_fract_y
_atom_site_fract_z
Dy1 Dy 0.1794 0.1794 0.3789
Dy2 Dy 0.8206 0.8206 0.6211
Pu1 Pu 0.1950 0.1950 0.8752
Pu2 Pu 0.5000 0.5000 0.0000
Pu3 Pu 0.8050 0.8050 0.1248
U1 U 0.5000 0.5000 0.5000
P1 P 0.0307 0.0307 0.6356
P2 P 0.3391 0.3391 0.1872
P3 P 0.3422 0.3422 0.6779
P4 P 0.6578 0.6578 0.3221
P5 P 0.6609 0.6609 0.8128
P6 P 0.9693 0.9693 0.3644

Formation energy per entry: -116; -128; -107; -88 kJ/mol of atoms
Spin magnetization per entry: 1.90; 3.43; 2.25; 6.94 μB/f.u.
Calculated total energy per entry: -9.48; -8.38; -9.61; -8.91 eV per atom